Model 1:
Material: ReB2Ir
Method: DFT, PBE
State: optimized geometry

Lattice parameters (Å, degrees): 3.8836 3.8836 3.8836 60.00 60.00 60.00
Positions (direct):
Re 0.0000 0.0000 0.0000
B 0.2500 0.2500 0.2500
B 0.7500 0.7500 0.7500
Ir 0.5000 0.5000 0.5000

Model 2:
Material: ReB2Ir
Method: DFT, PBE
State: optimized geometry

Lattice parameters (Å, degrees): 4.9450 4.9450 4.9450 110.81 110.81 106.83
Positions (direct):
Re 0.0000 0.0000 0.0000
Re 0.7500 0.2500 0.5000
B 0.1332 0.6250 0.0082
B 0.3750 0.3832 0.5082
B 0.6168 0.1250 0.9918
B 0.8750 0.8668 0.4918
Ir 0.2500 0.7500 0.5000
Ir 0.5000 0.5000 0.0000

According to the calculations, the structures order from most to least stable as model 1, model 2.

Model 1:
Material: BIrRh3
Method: DFT, PBE
State: optimized geometry

Lattice parameters (Å, degrees): 4.7182 4.7182 4.7182 90.00 90.00 90.00
Positions (direct):
B 0.0000 0.0000 0.0000
Ir 0.5000 0.5000 0.5000
Rh 0.0000 0.5000 0.5000
Rh 0.5000 0.0000 0.5000
Rh 0.5000 0.5000 0.0000

Model 2:
Material: BIrRh3
Method: DFT, PBE
State: optimized geometry

Lattice parameters (Å, degrees): 4.0655 4.0655 4.0655 90.00 90.00 90.00
Positions (direct):
B 0.0000 0.0000 0.0000
Ir 0.5000 0.5000 0.5000
Rh 0.0000 0.0000 0.5000
Rh 0.0000 0.5000 0.0000
Rh 0.5000 0.0000 0.0000

According to the calculations, the structures order from most to least stable as model 2, model 1.

Model 1:
Material: BIr3Rh
Method: DFT, PBE
State: optimized geometry

Lattice parameters (Å, degrees): 4.7071 4.7071 4.7071 90.00 90.00 90.00
Positions (direct):
B 0.0000 0.0000 0.0000
Ir 0.0000 0.5000 0.5000
Ir 0.5000 0.0000 0.5000
Ir 0.5000 0.5000 0.0000
Rh 0.5000 0.5000 0.5000

Model 2:
Material: BIr3Rh
Method: DFT, PBE
State: optimized geometry

Lattice parameters (Å, degrees): 4.0942 4.0942 4.0942 90.00 90.00 90.00
Positions (direct):
B 0.0000 0.0000 0.0000
Ir 0.0000 0.0000 0.5000
Ir 0.0000 0.5000 0.0000
Ir 0.5000 0.0000 0.0000
Rh 0.5000 0.5000 0.5000

According to the calculations, the structures order from most to least stable as model 2, model 1.

Model 1:
Material: B3IrRh
Method: DFT, PBE
State: optimized geometry

Lattice parameters (Å, degrees): 3.9669 3.9669 3.9669 90.00 90.00 90.00
Positions (direct):
B 0.0000 0.0000 0.5000
B 0.0000 0.5000 0.0000
B 0.5000 0.0000 0.0000
Ir 0.5000 0.5000 0.5000
Rh 0.0000 0.0000 0.0000

Model 2:
Material: B3IrRh
Method: DFT, PBE
State: optimized geometry

Lattice parameters (Å, degrees): 4.0332 4.0332 4.0332 90.00 90.00 90.00
Positions (direct):
B 0.0000 0.0000 0.5000
B 0.0000 0.5000 0.0000
B 0.5000 0.0000 0.0000
Ir 0.0000 0.0000 0.0000
Rh 0.5000 0.5000 0.5000

According to the calculations, the structures order from most to least stable as model 2, model 1.

Model 1:
Material: B2IrRh2
Method: DFT, PBE
State: optimized geometry

Lattice parameters (Å, degrees): 6.3494 5.4835 7.2527 90.00 105.95 90.00
Positions (direct):
B 0.0532 0.0679 0.2465
B 0.0532 0.4321 0.7465
B 0.3976 0.6705 0.1347
B 0.3976 0.8295 0.6347
B 0.6024 0.1705 0.3653
B 0.6024 0.3295 0.8653
B 0.9468 0.5679 0.2535
B 0.9468 0.9321 0.7535
Ir 0.3563 0.5917 0.8432
Ir 0.3563 0.9083 0.3432
Ir 0.6437 0.0917 0.6568
Ir 0.6437 0.4083 0.1568
Rh 0.0528 0.7475 0.5270
Rh 0.0528 0.7525 0.0270
Rh 0.2842 0.0942 0.8155
Rh 0.2842 0.4058 0.3155
Rh 0.7158 0.5942 0.6845
Rh 0.7158 0.9058 0.1845
Rh 0.9472 0.2475 0.9730
Rh 0.9472 0.2525 0.4730

Model 2:
Material: B2IrRh2
Method: DFT, PBE
State: optimized geometry

Lattice parameters (Å, degrees): 6.3228 6.3228 2.7474 90.00 90.00 90.00
Positions (direct):
B 0.1523 0.3477 0.0000
B 0.3477 0.8477 0.0000
B 0.6523 0.1523 0.0000
B 0.8477 0.6523 0.0000
Ir 0.0000 0.0000 0.0000
Ir 0.5000 0.5000 0.0000
Rh 0.1521 0.6521 0.5000
Rh 0.3479 0.1521 0.5000
Rh 0.6521 0.8479 0.5000
Rh 0.8479 0.3479 0.5000

According to the calculations, the structures order from most to least stable as model 1, model 2.

Model 1:
Material: B3IrRu
Method: DFT, PBE
State: optimized geometry

Lattice parameters (Å, degrees): 4.0264 4.0264 4.0264 90.00 90.00 90.00
Positions (direct):
B 0.0000 0.0000 0.5000
B 0.0000 0.5000 0.0000
B 0.5000 0.0000 0.0000
Ir 0.0000 0.0000 0.0000
Ru 0.5000 0.5000 0.5000

Model 2:
Material: B3IrRu
Method: DFT, PBE
State: optimized geometry

Lattice parameters (Å, degrees): 3.9573 3.9573 3.9573 90.00 90.00 90.00
Positions (direct):
B 0.0000 0.0000 0.5000
B 0.0000 0.5000 0.0000
B 0.5000 0.0000 0.0000
Ir 0.5000 0.5000 0.5000
Ru 0.0000 0.0000 0.0000

According to the calculations, the structures order from most to least stable as model 1, model 2.

Model 1:
Material: B2IrRu
Method: DFT, PBE
State: optimized geometry

Lattice parameters (Å, degrees): 4.3686 4.3686 4.3686 47.57 47.57 47.57
Positions (direct):
B 0.2487 0.2487 0.2487
B 0.7513 0.7513 0.7513
Ir 0.5000 0.5000 0.5000
Ru 0.0000 0.0000 0.0000

Model 2:
Material: B2IrRu
Method: DFT, PBE
State: optimized geometry

Lattice parameters (Å, degrees): 4.0763 3.6534 5.8585 90.00 109.85 90.00
Positions (direct):
B 0.1543 0.2500 0.0193
B 0.1578 0.2500 0.5205
B 0.8422 0.7500 0.4795
B 0.8457 0.7500 0.9807
Ir 0.2702 0.7500 0.8346
Ir 0.7298 0.2500 0.1654
Ru 0.2703 0.7500 0.3371
Ru 0.7297 0.2500 0.6629

Model 3:
Material: B2IrRu
Method: DFT, PBE
State: optimized geometry

Lattice parameters (Å, degrees): 3.8456 3.8456 3.8456 60.00 60.00 60.00
Positions (direct):
B 0.2500 0.2500 0.2500
B 0.7500 0.7500 0.7500
Ir 0.0000 0.0000 0.0000
Ru 0.5000 0.5000 0.5000

According to the calculations, the structures order from most to least stable as model 2, model 1, model 3.

Model 1:
Material: BSbTe2Ir
Method: DFT, PBE
State: optimized geometry

Lattice parameters (Å, degrees): 4.6874 4.6874 4.6255 90.00 90.00 90.00
Positions (direct):
B 0.0000 0.0000 0.0000
Sb 0.0000 0.0000 0.5000
Te 0.0000 0.5000 0.0000
Te 0.5000 0.0000 0.0000
Ir 0.5000 0.5000 0.5000

Model 2:
Material: BSbTe2Ir
Method: DFT, PBE
State: optimized geometry

Lattice parameters (Å, degrees): 5.4375 5.4375 4.9484 90.00 90.00 90.00
Positions (direct):
B 0.0000 0.0000 0.0000
Sb 0.5000 0.5000 0.0000
Te 0.0000 0.5000 0.5000
Te 0.5000 0.0000 0.5000
Ir 0.5000 0.5000 0.5000

According to the calculations, the structures order from most to least stable as model 1, model 2.

Model 1:
Material: ScB2Ir
Method: DFT, PBE
State: optimized geometry

Lattice parameters (Å, degrees): 3.9760 3.9760 3.9760 60.00 60.00 60.00
Positions (direct):
Sc 0.0000 0.0000 0.0000
B 0.2500 0.2500 0.2500
B 0.7500 0.7500 0.7500
Ir 0.5000 0.5000 0.5000

Model 2:
Material: ScB2Ir
Method: DFT, PBE
State: optimized geometry

Lattice parameters (Å, degrees): 7.7161 7.7161 7.7161 150.42 150.42 42.33
Positions (direct):
Sc 0.3750 0.6250 0.7500
Sc 0.6250 0.3750 0.2500
B 0.0000 0.0000 0.0000
B 0.0000 0.0000 0.5000
B 0.0000 0.5000 0.0000
B 0.5000 0.0000 0.5000
Ir 0.1250 0.8750 0.2500
Ir 0.8750 0.1250 0.7500

According to the calculations, the structures order from most to least stable as model 2, model 1.

Model 1:
Material: ScBIr3
Method: DFT, PBE
State: optimized geometry

Lattice parameters (Å, degrees): 7.4315 7.4315 5.0801 90.00 90.00 140.00
Positions (direct):
Sc 0.1732 0.8268 0.7500
Sc 0.8268 0.1732 0.2500
B 0.4584 0.5416 0.7500
B 0.5416 0.4584 0.2500
Ir 0.0000 0.0000 0.0000
Ir 0.0000 0.0000 0.5000
Ir 0.0960 0.3981 0.7500
Ir 0.3981 0.0960 0.2500
Ir 0.6019 0.9040 0.7500
Ir 0.9040 0.6019 0.2500

Model 2:
Material: ScBIr3
Method: DFT, PBE
State: optimized geometry

Lattice parameters (Å, degrees): 7.0095 7.0095 2.8965 90.00 90.00 101.89
Positions (direct):
Sc 0.2299 0.7701 0.0000
Sc 0.7701 0.2299 0.0000
B 0.1933 0.1933 0.0000
B 0.8067 0.8067 0.0000
Ir 0.0000 0.0000 0.5000
Ir 0.1523 0.4097 0.5000
Ir 0.4097 0.1523 0.5000
Ir 0.5000 0.5000 0.0000
Ir 0.5903 0.8477 0.5000
Ir 0.8477 0.5903 0.5000

Model 3:
Material: ScBIr3
Method: DFT, PBE
State: optimized geometry

Lattice parameters (Å, degrees): 4.1509 4.1509 4.1509 90.00 90.00 90.00
Positions (direct):
Sc 0.0000 0.0000 0.0000
B 0.5000 0.5000 0.5000
Ir 0.0000 0.5000 0.5000
Ir 0.5000 0.0000 0.5000
Ir 0.5000 0.5000 0.0000

Model 4:
Material: ScBIr3
Method: DFT, PBE
State: optimized geometry

Lattice parameters (Å, degrees): 4.6892 4.6892 4.6892 90.00 90.00 90.00
Positions (direct):
Sc 0.0000 0.0000 0.0000
B 0.5000 0.5000 0.5000
Ir 0.0000 0.0000 0.5000
Ir 0.0000 0.5000 0.0000
Ir 0.5000 0.0000 0.0000

According to the calculations, the structures order from most to least stable as model 3, model 2, model 1, model 4.

Model 1:
Material: Sc3BIr
Method: DFT, PBE
State: optimized geometry

Lattice parameters (Å, degrees): 4.9562 4.9562 4.9562 90.00 90.00 90.00
Positions (direct):
Sc 0.0000 0.0000 0.5000
Sc 0.0000 0.5000 0.0000
Sc 0.5000 0.0000 0.0000
B 0.5000 0.5000 0.5000
Ir 0.0000 0.0000 0.0000

Model 2:
Material: Sc3BIr
Method: DFT, PBE
State: optimized geometry

Lattice parameters (Å, degrees): 4.5189 4.5189 4.5189 90.00 90.00 90.00
Positions (direct):
Sc 0.0000 0.0000 0.5000
Sc 0.0000 0.5000 0.0000
Sc 0.5000 0.0000 0.0000
B 0.0000 0.0000 0.0000
Ir 0.5000 0.5000 0.5000

According to the calculations, the structures order from most to least stable as model 2, model 1.

Model 1:
Material: SiB3Ir
Method: DFT, PBE
State: optimized geometry

Lattice parameters (Å, degrees): 3.9000 3.9000 3.9000 90.00 90.00 90.00
Positions (direct):
Si 0.0000 0.0000 0.0000
B 0.0000 0.0000 0.5000
B 0.0000 0.5000 0.0000
B 0.5000 0.0000 0.0000
Ir 0.5000 0.5000 0.5000

Model 2:
Material: SiB3Ir
Method: DFT, PBE
State: optimized geometry

Lattice parameters (Å, degrees): 4.1214 4.1214 4.1214 90.00 90.00 90.00
Positions (direct):
Si 0.0000 0.0000 0.0000
B 0.0000 0.5000 0.5000
B 0.5000 0.0000 0.5000
B 0.5000 0.5000 0.0000
Ir 0.5000 0.5000 0.5000

According to the calculations, the structures order from most to least stable as model 2, model 1.